Run 1
DFT (PBE) results for a geometry-optimized AcHoSc structure.

Cell lengths 5.457, 5.457, 5.457 Å; angles 60.00, 60.00, 60.00 degrees
Sites, in units of the cell vectors:
Sc  0.000  0.000  0.000
Ac  0.250  0.250  0.250
Ho  0.750  0.750  0.750

Magnetic moment ... 0.6 μB per formula unit
Space-group type ... F-43m, No. 216



Run 2
DFT (PBE) results for a geometry-optimized AcHoSc structure.

Cell lengths 5.461, 5.461, 5.461 Å; angles 60.00, 60.00, 60.00 degrees
Sites, in units of the cell vectors:
Ac  0.000  0.000  0.000
Ho  0.250  0.250  0.250
Sc  0.750  0.750  0.750

Magnetic moment ... 0.4 μB per formula unit
Space-group type ... F-43m, No. 216



Going by the energies, run 1 is most stable and the next is 24.9 kJ/mol of atoms up.



Run 1
DFT (PBE) results for a geometry-optimized AcHoSi structure.

Cell lengths 5.242, 5.242, 5.242 Å; angles 60.00, 60.00, 60.00 degrees
Sites, in units of the cell vectors:
Ac  0.000  0.000  0.000
Ho  0.250  0.250  0.250
Si  0.750  0.750  0.750

Magnetic moment ... 0.2 μB per formula unit
Space-group type ... F-43m, No. 216



Run 2
DFT (PBE) results for a geometry-optimized AcHoSi structure.

Cell lengths 5.095, 5.095, 5.095 Å; angles 60.00, 60.00, 60.00 degrees
Sites, in units of the cell vectors:
Ho  0.750  0.750  0.750
Si  0.000  0.000  0.000
Ac  0.250  0.250  0.250

Magnetic moment ... 0.0 μB per formula unit
Space-group type ... F-43m, No. 216



Going by the energies, run 2 is most stable and the next is 93.0 kJ/mol of atoms up.



Run 1
DFT (PBE) results for a geometry-optimized AcHoSn structure.

Cell lengths 5.383, 5.383, 5.383 Å; angles 60.00, 60.00, 60.00 degrees
Sites, in units of the cell vectors:
Ac  0.250  0.250  0.250
Ho  0.750  0.750  0.750
Sn  0.000  0.000  0.000

Magnetic moment ... 0.0 μB per formula unit
Space-group type ... F-43m, No. 216



Run 2
DFT (PBE) results for a geometry-optimized AcHoSn structure.

Cell lengths 5.517, 5.517, 5.517 Å; angles 60.00, 60.00, 60.00 degrees
Sites, in units of the cell vectors:
Ho  0.250  0.250  0.250
Sn  0.750  0.750  0.750
Ac  0.000  0.000  0.000

Magnetic moment ... 0.1 μB per formula unit
Space-group type ... F-43m, No. 216



Going by the energies, run 1 is most stable and the next is 63.6 kJ/mol of atoms up.



Run 1
DFT (PBE) results for a geometry-optimized AcYHo structure.

Cell lengths 5.662, 5.662, 5.662 Å; angles 60.00, 60.00, 60.00 degrees
Sites, in units of the cell vectors:
Ac  0.000  0.000  0.000
Y  0.750  0.750  0.750
Ho  0.250  0.250  0.250

Magnetic moment ... 0.0 μB per formula unit
Space-group type ... F-43m, No. 216



Run 2
DFT (PBE) results for a geometry-optimized AcYHo structure.

Cell lengths 5.652, 5.652, 5.652 Å; angles 60.00, 60.00, 60.00 degrees
Sites, in units of the cell vectors:
Y  0.750  0.750  0.750
Ac  0.250  0.250  0.250
Ho  0.000  0.000  0.000

Magnetic moment ... 0.0 μB per formula unit
Space-group type ... F-43m, No. 216



Going by the energies, run 2 is most stable and the next is 15.4 kJ/mol of atoms up.



Run 1
DFT (PBE) results for a geometry-optimized AcHoZr structure.

Cell lengths 5.407, 5.407, 5.407 Å; angles 60.00, 60.00, 60.00 degrees
Sites, in units of the cell vectors:
Ho  0.250  0.250  0.250
Zr  0.750  0.750  0.750
Ac  0.000  0.000  0.000

Magnetic moment ... 0.9 μB per formula unit
Space-group type ... F-43m, No. 216



Run 2
DFT (PBE) results for a geometry-optimized AcHoZr structure.

Cell lengths 5.380, 5.380, 5.380 Å; angles 60.00, 60.00, 60.00 degrees
Sites, in units of the cell vectors:
Ac  0.750  0.750  0.750
Zr  0.250  0.250  0.250
Ho  0.000  0.000  0.000

Magnetic moment ... 2.0 μB per formula unit
Space-group type ... F-43m, No. 216



Going by the energies, run 2 is most stable and the next is 15.7 kJ/mol of atoms up.



Run 1
DFT (PBE) results for a geometry-optimized AcNbIn structure.

Cell lengths 5.104, 5.104, 5.104 Å; angles 60.00, 60.00, 60.00 degrees
Sites, in units of the cell vectors:
Ac  0.250  0.250  0.250
Nb  0.000  0.000  0.000
In  0.750  0.750  0.750

Magnetic moment ... 2.9 μB per formula unit
Space-group type ... F-43m, No. 216



Run 2
DFT (PBE) results for a geometry-optimized AcNbIn structure.

Cell lengths 5.306, 5.306, 5.306 Å; angles 60.00, 60.00, 60.00 degrees
Sites, in units of the cell vectors:
Nb  0.750  0.750  0.750
In  0.250  0.250  0.250
Ac  0.000  0.000  0.000

Magnetic moment ... 3.0 μB per formula unit
Space-group type ... F-43m, No. 216



Going by the energies, run 1 is most stable and the next is 49.4 kJ/mol of atoms up.



Run 1
DFT (PBE) results for a geometry-optimized AcInNi structure.

Cell lengths 5.146, 5.146, 5.146 Å; angles 60.00, 60.00, 60.00 degrees
Sites, in units of the cell vectors:
Ni  0.750  0.750  0.750
Ac  0.000  0.000  0.000
In  0.250  0.250  0.250

Magnetic moment ... 0.0 μB per formula unit
Space-group type ... F-43m, No. 216



Run 2
DFT (PBE) results for a geometry-optimized AcInNi structure.

Cell lengths 4.855, 4.855, 4.855 Å; angles 60.00, 60.00, 60.00 degrees
Sites, in units of the cell vectors:
Ni  0.000  0.000  0.000
Ac  0.250  0.250  0.250
In  0.750  0.750  0.750

Magnetic moment ... 0.0 μB per formula unit
Space-group type ... F-43m, No. 216



Going by the energies, run 2 is most stable and the next is 71.3 kJ/mol of atoms up.



Run 1
DFT (PBE) results for a geometry-optimized AcZrIn structure.

Cell lengths 5.236, 5.236, 5.236 Å; angles 60.00, 60.00, 60.00 degrees
Sites, in units of the cell vectors:
Ac  0.250  0.250  0.250
In  0.000  0.000  0.000
Zr  0.750  0.750  0.750

Magnetic moment ... 1.0 μB per formula unit
Space-group type ... F-43m, No. 216



Run 2
DFT (PBE) results for a geometry-optimized AcZrIn structure.

Cell lengths 5.443, 5.443, 5.443 Å; angles 60.00, 60.00, 60.00 degrees
Sites, in units of the cell vectors:
Zr  0.750  0.750  0.750
In  0.250  0.250  0.250
Ac  0.000  0.000  0.000

Magnetic moment ... 1.9 μB per formula unit
Space-group type ... F-43m, No. 216



Going by the energies, run 1 is most stable and the next is 56.5 kJ/mol of atoms up.